1.
Here is a relaxed Pm3Nd4Tm5 crystal from the Alexandria database. Energies are from PBE-GGA.

Results
The total energy is -4.42 eV/atom. The energy relative to the elements comes out at 222 meV per atom. Its energy above the most stable polymorph in this dataset is 0.203 eV per atom. As for the total magnetic moment: 0.1 μB/f.u.

Structure (POSCAR):
```
Pm3Nd4Tm5
1.0
-3.347 -4.845 -0.979
-0.465 -1.659 -8.400
4.588 -7.625 3.854
Pm Nd Tm
3 4 5
Direct
0.526 0.687 0.260
0.000 0.500 0.500
0.474 0.313 0.740
0.862 0.223 0.052
0.174 0.038 0.615
0.826 0.962 0.385
0.138 0.777 0.948
0.629 0.941 0.801
0.500 0.500 0.500
0.211 0.459 0.119
0.789 0.541 0.881
0.371 0.059 0.199
```



2.
Here is a relaxed Zn3SnPb crystal from the Alexandria database. Energies are from PBE-GGA.

Results
The total energy is -1.81 eV/atom. The energy relative to the elements comes out at 493 meV per atom. Its energy above the most stable polymorph in this dataset is 0.000 eV per atom. As for the total magnetic moment: 0.0 μB/f.u.

Structure (POSCAR):
```
Zn3SnPb
1.0
5.191 0.000 0.000
0.000 5.191 0.000
0.000 0.000 5.191
Pb Zn Sn
1 3 1
Direct
0.500 0.500 0.500
0.000 0.500 0.000
0.000 0.000 0.500
0.500 0.000 0.000
0.000 0.000 0.000
```



3.
Here is a relaxed BeSe2F crystal from the Alexandria database. Energies are from PBE-GGA.

Results
The total energy is -3.54 eV/atom. Its energy above the most stable polymorph in this dataset is 0.000 eV per atom. As for the total magnetic moment: 0.0 μB/f.u. The formation energy from raw total energies comes out at -0.3977 eV per atom.

Structure (POSCAR):
```
BeSe2F
1.0
2.079 0.000 6.638
-1.040 1.801 6.638
-1.040 -1.801 6.638
Be Se F
1 2 1
Direct
0.500 0.500 0.500
0.892 0.892 0.892
0.108 0.108 0.108
0.000 0.000 0.000
```



4.
Here is a relaxed Li4Sn3Pd2 crystal from the Alexandria database. Energies are from PBE-GGA.

Results
The total energy is -3.81 eV/atom. The energy relative to the elements comes out at -472 meV per atom. Its energy above the most stable polymorph in this dataset is 0.000 eV per atom. As for the total magnetic moment: 0.0 μB/f.u.

Structure (POSCAR):
```
Li4Sn3Pd2
1.0
-2.186 -3.854 -0.845
1.208 -4.078 3.434
-6.242 -0.008 4.150
Li Sn Pd
4 3 2
Direct
0.658 0.595 0.089
0.985 0.355 0.676
0.015 0.645 0.324
0.342 0.405 0.911
0.327 0.772 0.573
0.000 0.000 0.000
0.673 0.228 0.427
0.336 0.089 0.240
0.664 0.911 0.760
```



5.
Here is a relaxed Zr3Co2Os crystal from the Alexandria database. Energies are from PBE-GGA.

Results
The total energy is -8.88 eV/atom. The energy relative to the elements comes out at -365 meV per atom. Its energy above the most stable polymorph in this dataset is 0.000 eV per atom. As for the total magnetic moment: 2.0 μB/f.u.

Structure (POSCAR):
```
Zr3Co2Os
1.0
-0.771 -3.120 -0.245
4.407 -1.141 0.658
-3.282 0.306 6.440
Zr Co Os
3 2 1
Direct
0.500 0.500 0.000
0.500 0.831 0.662
0.500 0.169 0.338
0.000 0.334 0.669
0.000 0.666 0.331
0.000 0.000 0.000
```



6.
Here is a relaxed NaSb2Ru crystal from the Alexandria database. Energies are from PBE-GGA.

Results
The total energy is -4.88 eV/atom. Its energy above the most stable polymorph in this dataset is 0.000 eV per atom. As for the total magnetic moment: 0.7 μB/f.u. The formation energy from raw total energies comes out at -0.1710 eV per atom.

Structure (POSCAR):
```
NaSb2Ru
1.0
3.273 0.000 0.000
0.000 3.273 0.000
0.000 0.000 8.259
Sb Na Ru
2 1 1
Direct
0.000 0.000 0.803
0.000 0.000 0.197
0.500 0.500 0.500
0.500 0.500 0.000
```



7.
Here is a relaxed Sm8Tm6Pb crystal from the Alexandria database. Energies are from PBE-GGA.

Results
The total energy is -4.47 eV/atom. The energy relative to the elements comes out at 78 meV per atom. As for the total magnetic moment: 0.0 μB/f.u.

Structure (POSCAR):
```
Sm8Tm6Pb
1.0
6.450 0.000 0.000
0.000 8.093 -4.673
0.000 0.000 9.345
Sm Tm Pb
8 6 1
Direct
0.820 0.043 0.273
0.820 0.727 0.770
0.820 0.230 0.957
0.180 0.957 0.727
0.180 0.273 0.230
0.180 0.770 0.043
0.817 0.333 0.667
0.183 0.667 0.333
0.670 0.647 0.098
0.670 0.902 0.549
0.670 0.451 0.353
0.330 0.353 0.902
0.330 0.098 0.451
0.330 0.549 0.647
0.500 0.000 0.000
```



8.
Here is a relaxed Ba2GaSn3Au4 crystal from the Alexandria database. Energies are from PBE-GGA.

Results
The total energy is -3.79 eV/atom. The energy relative to the elements comes out at -588 meV per atom. As for the total magnetic moment: 0.0 μB/f.u.

Structure (POSCAR):
```
Ba2GaSn3Au4
1.0
-2.782 3.907 0.876
-3.591 -1.962 -2.651
-4.028 -4.903 9.082
Ba Ga Sn Au
2 1 3 4
Direct
0.500 0.000 0.247
0.000 0.500 0.753
0.500 0.500 0.500
0.000 0.000 0.500
0.500 0.000 0.873
0.000 0.500 0.127
0.500 0.500 0.000
0.000 0.000 0.000
0.500 0.000 0.622
0.000 0.500 0.378
```



9.
Here is a relaxed K2SnPb2 crystal from the Alexandria database. Energies are from PBE-GGA.

Results
The total energy is -2.89 eV/atom. The energy relative to the elements comes out at -171 meV per atom. Its energy above the most stable polymorph in this dataset is 0.000 eV per atom. As for the total magnetic moment: 0.0 μB/f.u.

Structure (POSCAR):
```
K2SnPb2
1.0
5.506 0.000 0.000
2.753 6.296 -0.206
2.753 0.589 10.945
K Sn Pb
4 2 4
Direct
0.314 0.259 0.113
0.493 0.335 0.679
0.686 0.741 0.887
0.507 0.665 0.321
0.792 0.077 0.339
0.208 0.923 0.661
0.973 0.161 0.894
0.152 0.249 0.448
0.027 0.839 0.106
0.848 0.751 0.552
```



10.
Here is a relaxed Ho4ZrN4 crystal from the Alexandria database. Energies are from PBE-GGA.

Results
The total energy is -7.62 eV/atom. Its energy above the most stable polymorph in this dataset is 0.581 eV per atom. As for the total magnetic moment: 0.0 μB/f.u. The formation energy from raw total energies comes out at -0.9386 eV per atom.

Structure (POSCAR):
```
Ho4ZrN4
1.0
5.686 0.000 0.000
0.000 5.686 0.000
-2.843 -2.843 5.188
Ho Zr N
4 1 4
Direct
0.500 0.000 0.000
0.000 0.500 0.000
0.291 0.291 0.582
0.709 0.709 0.418
0.000 0.000 0.000
0.658 0.658 0.763
0.342 0.894 0.237
0.106 0.106 0.763
0.894 0.342 0.237
```



11.
Here is a relaxed NdTmInOs crystal from the Alexandria database. Energies are from PBE-GGA.

Results
The total energy is -5.97 eV/atom. The energy relative to the elements comes out at -164 meV per atom. As for the total magnetic moment: 0.0 μB/f.u.

Structure (POSCAR):
```
NdTmInOs
1.0
-2.121 3.640 2.869
-3.939 2.690 -1.797
-4.658 -0.685 1.954
Nd Tm Os In
1 1 1 1
Direct
0.000 0.000 0.000
0.500 0.500 0.500
0.250 0.250 0.250
0.750 0.750 0.750
```



12.
Here is a relaxed Nd2Er2Se3S2 crystal from the Alexandria database. Energies are from PBE-GGA.

Results
The total energy is -5.65 eV/atom. As for the total magnetic moment: 0.0 μB/f.u. The formation energy from raw total energies comes out at -1.4964 eV per atom.

Structure (POSCAR):
```
Nd2Er2Se3S2
1.0
5.610 0.000 0.000
0.000 5.610 0.000
-2.805 -2.805 7.258
Nd Er Se S
2 2 3 2
Direct
0.211 0.211 0.421
0.789 0.789 0.579
0.500 0.000 0.000
0.000 0.500 0.000
0.000 0.000 0.000
0.250 0.750 0.500
0.750 0.250 0.500
0.597 0.597 0.194
0.403 0.403 0.806
```



13.
Here is a relaxed NaTl2Sn2Pb6 crystal from the Alexandria database. Energies are from PBE-GGA.

Results
The total energy is -3.29 eV/atom. The energy relative to the elements comes out at 10 meV per atom. As for the total magnetic moment: 0.0 μB/f.u.

Structure (POSCAR):
```
NaTl2Sn2Pb6
1.0
-5.522 -8.346 2.624
1.520 -11.041 4.477
-6.081 12.815 -0.975
Na Tl Sn Pb
1 2 2 6
Direct
0.500 0.000 0.500
0.176 0.835 0.832
0.824 0.165 0.168
0.670 0.578 0.831
0.330 0.422 0.169
0.335 0.916 0.164
0.159 0.332 0.832
0.979 0.257 0.500
0.841 0.668 0.168
0.021 0.743 0.500
0.665 0.084 0.836
```



14.
Here is a relaxed HoTi2H crystal from the Alexandria database. Energies are from PBE-GGA.

Results
The total energy is -5.78 eV/atom. As for the total magnetic moment: 0.0 μB/f.u.

Structure (POSCAR):
```
HoTi2H
1.0
-1.800 -1.743 -1.765
0.474 -3.024 -0.158
-5.475 -2.704 5.596
H Ho Ti
1 1 2
Direct
0.500 0.500 0.500
0.000 0.000 0.000
0.121 0.121 0.638
0.879 0.879 0.362
```



15.
Here is a relaxed SmPu2O8 crystal from the Alexandria database. Energies are from PBE-GGA.

Results
The total energy is -9.19 eV/atom. As for the total magnetic moment: 3.0 μB/f.u. The formation energy from raw total energies comes out at -2.5511 eV per atom.

Structure (POSCAR):
```
SmPu2O8
1.0
4.617 0.078 0.119
-0.015 6.313 -3.582
0.221 -0.639 6.228
Sm Pu O
1 2 8
Direct
0.000 0.000 0.000
0.262 0.371 0.743
0.738 0.629 0.257
0.239 0.573 0.145
0.761 0.427 0.855
0.751 0.882 0.244
0.262 0.181 0.362
0.249 0.638 0.756
0.249 0.118 0.756
0.738 0.819 0.638
0.751 0.362 0.244
```



16.
Here is a relaxed ErInHgS4 crystal from the Alexandria database. Energies are from PBE-GGA.

Results
The total energy is -4.41 eV/atom. As for the total magnetic moment: 0.0 μB/f.u. The formation energy from raw total energies comes out at -0.9623 eV per atom.

Structure (POSCAR):
```
ErInHgS4
1.0
-1.267 -7.754 -0.371
-0.116 -4.289 6.642
-6.812 -3.004 2.664
Er In Hg S
2 2 2 8
Direct
0.000 0.000 0.000
0.000 0.500 0.500
0.500 0.000 0.500
0.000 0.000 0.500
0.624 0.626 0.126
0.376 0.374 0.874
0.756 0.766 0.721
0.244 0.779 0.734
0.756 0.221 0.266
0.244 0.234 0.279
0.223 0.761 0.261
0.755 0.761 0.261
0.245 0.239 0.739
0.777 0.239 0.739
```



17.
Here is a relaxed SrHfRhF2 crystal from the Alexandria database. Energies are from PBE-GGA.

Results
The total energy is -6.40 eV/atom. As for the total magnetic moment: 0.0 μB/f.u. The formation energy from raw total energies comes out at -1.8575 eV per atom.

Structure (POSCAR):
```
SrHfRhF2
1.0
4.299 0.000 0.000
0.000 5.214 0.000
0.000 0.000 4.299
Rh F Hf Sr
1 2 1 1
Direct
0.000 0.500 0.000
0.000 0.000 0.500
0.500 0.000 0.000
0.000 0.000 0.000
0.500 0.500 0.500
```



18.
Here is a relaxed MgBeCo2 crystal from the Alexandria database. Energies are from PBE-GGA.

Results
The total energy is -4.75 eV/atom. The energy relative to the elements comes out at 138 meV per atom. Its energy above the most stable polymorph in this dataset is 0.147 eV per atom. As for the total magnetic moment: 1.2 μB/f.u.

Structure (POSCAR):
```
MgBeCo2
1.0
-0.278 -3.978 -0.026
-0.234 -2.005 3.439
-3.417 -1.767 1.050
Be Mg Co
1 1 2
Direct
0.000 0.000 0.000
0.500 0.500 0.500
0.250 0.250 0.250
0.750 0.750 0.750
```



19.
Here is a relaxed CdAsBr2 crystal from the Alexandria database. Energies are from PBE-GGA.

Results
The total energy is -1.88 eV/atom. Its energy above the most stable polymorph in this dataset is 0.630 eV per atom. As for the total magnetic moment: 0.0 μB/f.u. The formation energy from raw total energies comes out at 0.3511 eV per atom.

Structure (POSCAR):
```
CdAsBr2
1.0
5.166 0.000 0.000
2.583 4.474 0.000
2.583 1.491 4.218
As Br Cd
1 2 1
Direct
0.500 0.500 0.500
0.000 0.000 0.000
0.250 0.250 0.250
0.750 0.750 0.750
```



20.
Here is a relaxed Ac2HPb crystal from the Alexandria database. Energies are from PBE-GGA.

Results
The total energy is -3.90 eV/atom. Its energy above the most stable polymorph in this dataset is 0.424 eV per atom. As for the total magnetic moment: 0.0 μB/f.u.

Structure (POSCAR):
```
Ac2HPb
1.0
3.775 0.000 0.000
0.000 3.775 0.000
0.000 0.000 8.168
Pb H Ac
1 1 2
Direct
0.500 0.500 0.500
0.500 0.500 0.000
0.000 0.000 0.779
0.000 0.000 0.221
```



21.
Here is a relaxed TePb2 crystal from the Alexandria database. Energies are from PBE-GGA.

Results
The total energy is -3.64 eV/atom. Its energy above the most stable polymorph in this dataset is 0.020 eV per atom. As for the total magnetic moment: 0.0 μB/f.u. The formation energy from raw total energies comes out at -0.1183 eV per atom.

Structure (POSCAR):
```
TePb2
1.0
0.154 -5.936 2.957
5.476 1.990 3.170
-5.497 3.679 0.500
Te Pb
2 4
Direct
0.750 0.750 0.000
0.250 0.250 0.000
0.322 0.178 0.500
0.678 0.822 0.500
0.178 0.678 0.856
0.822 0.322 0.144
```



22.
Here is a relaxed BeCuSe2N crystal from the Alexandria database. Energies are from PBE-GGA.

Results
The total energy is -3.52 eV/atom. Its energy above the most stable polymorph in this dataset is 0.576 eV per atom. As for the total magnetic moment: 0.4 μB/f.u. The formation energy from raw total energies comes out at 1.1001 eV per atom.

Structure (POSCAR):
```
BeCuSe2N
1.0
-3.405 -3.573 0.489
-0.055 -0.622 -4.920
2.519 -2.364 0.271
Be Cu Se N
1 1 2 1
Direct
0.500 0.500 0.500
0.000 0.000 0.000
0.000 0.500 0.000
0.500 0.000 0.000
0.000 0.000 0.500
```



23.
Here is a relaxed PmNpAu2 crystal from the Alexandria database. Energies are from PBE-GGA.

Results
The total energy is -6.40 eV/atom. The energy relative to the elements comes out at -337 meV per atom. Its energy above the most stable polymorph in this dataset is 0.026 eV per atom. As for the total magnetic moment: 4.7 μB/f.u.

Structure (POSCAR):
```
PmNpAu2
1.0
5.182 0.000 0.000
2.591 4.488 0.000
2.591 1.496 4.231
Np Au Pm
1 2 1
Direct
0.000 0.000 0.000
0.250 0.250 0.250
0.750 0.750 0.750
0.500 0.500 0.500
```



24.
Here is a relaxed Cd2SbBr crystal from the Alexandria database. Energies are from PBE-GGA.

Results
The total energy is -2.08 eV/atom. Its energy above the most stable polymorph in this dataset is 0.149 eV per atom. As for the total magnetic moment: 0.0 μB/f.u. The formation energy from raw total energies comes out at -0.1765 eV per atom.

Structure (POSCAR):
```
Cd2SbBr
1.0
-4.081 -0.844 1.238
-0.755 -2.823 3.219
-1.262 4.278 6.391
Cd Sb Br
2 1 1
Direct
0.075 0.075 0.775
0.268 0.268 0.195
0.668 0.668 0.997
0.489 0.489 0.533
```



25.
Here is a relaxed AlCdAuCl2 crystal from the Alexandria database. Energies are from PBE-GGA.

Results
The total energy is -2.70 eV/atom. As for the total magnetic moment: 0.0 μB/f.u. The formation energy from raw total energies comes out at -0.3741 eV per atom.

Structure (POSCAR):
```
AlCdAuCl2
1.0
-0.759 -3.101 3.441
4.965 -2.172 -0.863
1.849 2.994 3.106
Cl Au Al Cd
2 1 1 1
Direct
0.000 0.000 0.500
0.500 0.000 0.000
0.000 0.500 0.000
0.000 0.000 0.000
0.500 0.500 0.500
```



26.
Here is a relaxed LiTmTiRu crystal from the Alexandria database. Energies are from PBE-GGA.

Results
The total energy is -6.11 eV/atom. The energy relative to the elements comes out at -218 meV per atom. As for the total magnetic moment: 0.0 μB/f.u.

Structure (POSCAR):
```
LiTmTiRu
1.0
-1.852 4.084 -1.089
-0.484 1.207 -4.428
-4.205 0.196 -1.892
Ru Tm Li Ti
1 1 1 1
Direct
0.000 0.000 0.000
0.250 0.250 0.250
0.500 0.500 0.500
0.750 0.750 0.750
```